1.
A plane-wave DFT calculation with PBE was carried out for crystalline ScCu4Pd7 at its relaxed geometry.

Calculated values
M_tot, μB per formula unit: 0.00
DOS at the Fermi energy, states/eV per cell: 4.852
Formation energy, meV per atom: -107
SG: C2/m
V, Å³/cell: 185.4

Cell lengths 6.5004, 6.5004, 7.6900 Å; angles 120.09, 120.09, 42.61 degrees
Positions (direct):
Sc  0.0000  0.0000  0.0000
Cu  0.3134  0.3134  0.6410
Cu  0.4613  0.4613  0.2977
Cu  0.5387  0.5387  0.7023
Cu  0.6866  0.6866  0.3590
Pd  0.0695  0.0695  0.4082
Pd  0.2125  0.2125  0.8810
Pd  0.2517  0.2517  0.2781
Pd  0.5000  0.5000  0.0000
Pd  0.7483  0.7483  0.7219
Pd  0.7875  0.7875  0.1190
Pd  0.9305  0.9305  0.5918


2.
A plane-wave DFT calculation with PBE was carried out for crystalline YNiTe2 at its relaxed geometry.

Calculated values
M_tot, μB per formula unit: 0.42
Formation energy without anion corrections, eV/atom: -0.38
DOS at the Fermi energy, states/eV per cell: 16.871
SG: Fm-3m
V, Å³/cell: 379.8

Cell lengths 7.2422, 7.2422, 7.2422 Å; angles 90.00, 90.00, 90.00 degrees
Positions (direct):
Y  0.0000  0.0000  0.0000
Y  0.0000  0.5000  0.5000
Y  0.5000  0.0000  0.5000
Y  0.5000  0.5000  0.0000
Ni  0.0000  0.0000  0.5000
Ni  0.0000  0.5000  0.0000
Ni  0.5000  0.0000  0.0000
Ni  0.5000  0.5000  0.5000
Te  0.2500  0.2500  0.2500
Te  0.2500  0.2500  0.7500
Te  0.2500  0.7500  0.2500
Te  0.2500  0.7500  0.7500
Te  0.7500  0.2500  0.2500
Te  0.7500  0.2500  0.7500
Te  0.7500  0.7500  0.2500
Te  0.7500  0.7500  0.7500


3.
A plane-wave DFT calculation with PBE was carried out for crystalline KTl3Pb at its relaxed geometry.

Calculated values
M_tot, μB per formula unit: 0.00
DOS at the Fermi energy, states/eV per cell: 2.418
Formation energy, meV per atom: 149
SG: Pm-3m
V, Å³/cell: 231.5

Cell lengths 6.1405, 6.1405, 6.1405 Å; angles 90.00, 90.00, 90.00 degrees
Positions (direct):
K  0.0000  0.0000  0.0000
Tl  0.0000  0.5000  0.5000
Tl  0.5000  0.0000  0.5000
Tl  0.5000  0.5000  0.0000
Pb  0.5000  0.5000  0.5000


4.
A plane-wave DFT calculation with PBE was carried out for crystalline Ac2Sm2Pd15 at its relaxed geometry.

Calculated values
M_tot, μB per formula unit: 0.00
DOS at the Fermi energy, states/eV per cell: 13.434
Formation energy, meV per atom: -591
SG: R-3m
V, Å³/cell: 364.3

Cell lengths 7.2232, 7.2232, 7.2232 Å; angles 81.00, 81.00, 81.00 degrees
Positions (direct):
Ac  0.1413  0.1413  0.1413
Ac  0.8587  0.8587  0.8587
Sm  0.3922  0.3922  0.3922
Sm  0.6078  0.6078  0.6078
Pd  0.0000  0.5000  0.5000
Pd  0.1508  0.1508  0.6580
Pd  0.1508  0.6580  0.1508
Pd  0.1964  0.5000  0.8036
Pd  0.1964  0.8036  0.5000
Pd  0.3420  0.8492  0.8492
Pd  0.5000  0.0000  0.5000
Pd  0.5000  0.1964  0.8036
Pd  0.5000  0.5000  0.0000
Pd  0.5000  0.8036  0.1964
Pd  0.6580  0.1508  0.1508
Pd  0.8036  0.1964  0.5000
Pd  0.8036  0.5000  0.1964
Pd  0.8492  0.3420  0.8492
Pd  0.8492  0.8492  0.3420